[1]
DFT (PBE) results for Co4Si2Mo after structural relaxation.

* crystal system: tetragonal
* total magnetization: 8.4 μB per cell
* ΔE_f (raw): 0.1554 eV per atom
* uncorrected energy: -49.0 eV per formula unit

POSCAR file:
```
Co4Si2Mo
1.0
3.091 0.000 0.000
0.000 3.091 0.000
0.000 0.000 18.290
Co Si Mo
8 4 2
Cartesian
0.000 0.000 2.648 Co
0.000 0.000 15.642 Co
0.000 1.545 4.573 Co
0.000 1.545 13.718 Co
1.545 0.000 4.573 Co
1.545 0.000 13.718 Co
1.545 1.545 6.497 Co
1.545 1.545 11.793 Co
0.000 0.000 7.576 Si
0.000 0.000 10.714 Si
1.545 1.545 1.569 Si
1.545 1.545 16.722 Si
0.000 0.000 0.000 Mo
1.545 1.545 9.145 Mo
```

[2]
DFT (PBE) results for CoSiMo2 after structural relaxation.

* crystal system: monoclinic
* total magnetization: 0.0 μB per cell
* ΔE_f (raw): -0.1604 eV per atom
* uncorrected energy: -34.8 eV per formula unit

POSCAR file:
```
CoSiMo2
1.0
2.762 0.000 0.000
0.000 3.971 0.000
-1.367 0.000 4.958
Co Si Mo
1 1 2
Cartesian
0.000 0.000 0.000 Co
1.398 1.985 3.698 Si
0.016 0.000 2.632 Mo
1.383 1.985 1.050 Mo
```

[3]
DFT (PBE) results for CoSiMo2 after structural relaxation.

* crystal system: monoclinic
* total magnetization: 0.0 μB per cell
* ΔE_f (raw): -0.0477 eV per atom
* uncorrected energy: -34.4 eV per formula unit

POSCAR file:
```
CoSiMo2
1.0
5.130 0.000 0.000
0.000 7.979 0.000
-0.466 0.000 2.667
Co Si Mo
2 2 4
Cartesian
0.000 0.000 0.000 Co
2.565 3.989 0.000 Co
0.000 3.989 0.000 Si
2.565 0.000 0.000 Si
1.050 1.995 1.333 Mo
1.050 5.984 1.333 Mo
3.614 1.995 1.333 Mo
3.614 5.984 1.333 Mo
```

[4]
DFT (PBE) results for Co2SiMo after structural relaxation.

* crystal system: trigonal
* total magnetization: 2.7 μB per cell
* ΔE_f (raw): 0.0584 eV per atom
* uncorrected energy: -30.2 eV per formula unit

POSCAR file:
```
Co2SiMo
1.0
2.686 0.000 0.000
-1.343 2.326 0.000
0.000 0.000 24.071
Co Si Mo
6 3 3
Cartesian
0.000 0.000 0.000 Co
0.000 0.000 6.019 Co
0.000 1.551 16.047 Co
0.000 1.551 22.066 Co
1.343 0.775 8.023 Co
1.343 0.775 14.043 Co
0.000 0.000 12.298 Si
0.000 1.551 4.275 Si
1.343 0.775 20.322 Si
0.000 0.000 18.115 Mo
0.000 1.551 10.092 Mo
1.343 0.775 2.068 Mo
```

[5]
DFT (PBE) results for Co2SiMo after structural relaxation.

* crystal system: tetragonal
* total magnetization: 0.1 μB per cell
* ΔE_f (raw): -0.3166 eV per atom
* uncorrected energy: -31.7 eV per formula unit

POSCAR file:
```
Co2SiMo
1.0
2.673 0.000 0.000
0.000 2.673 0.000
0.000 0.000 6.598
Co Si Mo
2 1 1
Cartesian
0.000 0.000 1.371 Co
0.000 0.000 5.227 Co
1.336 1.336 0.000 Si
1.336 1.336 3.299 Mo
```

[6]
DFT (PBE) results for CoSi2Mo after structural relaxation.

* crystal system: trigonal
* total magnetization: 2.3 μB per cell
* ΔE_f (raw): 0.0395 eV per atom
* uncorrected energy: -28.6 eV per formula unit

POSCAR file:
```
CoSi2Mo
1.0
2.821 0.000 0.000
-1.410 2.443 0.000
0.000 0.000 23.300
Co Si Mo
3 6 3
Cartesian
0.000 0.000 0.000 Co
0.000 1.629 15.533 Co
1.410 0.814 7.767 Co
0.000 0.000 6.097 Si
0.000 0.000 11.886 Si
0.000 1.629 4.119 Si
0.000 1.629 21.630 Si
1.410 0.814 13.863 Si
1.410 0.814 19.653 Si
0.000 0.000 17.607 Mo
0.000 1.629 9.840 Mo
1.410 0.814 2.074 Mo
```

[7]
DFT (PBE) results for CoSiMo2 after structural relaxation.

* crystal system: orthorhombic
* total magnetization: 0.0 μB per cell
* ΔE_f (raw): -0.0895 eV per atom
* uncorrected energy: -34.5 eV per formula unit

POSCAR file:
```
CoSiMo2
1.0
3.556 0.000 0.000
0.000 4.114 0.000
0.000 0.000 7.387
Co Si Mo
2 2 4
Cartesian
0.000 0.000 0.000 Co
1.778 2.057 0.000 Co
0.000 2.057 1.352 Si
1.778 0.000 1.352 Si
0.000 0.000 3.255 Mo
0.000 2.057 5.482 Mo
1.778 0.000 5.482 Mo
1.778 2.057 3.255 Mo
```

[8]
DFT (PBE) results for Co2SiMo after structural relaxation.

* crystal system: tetragonal
* total magnetization: 0.0 μB per cell
* ΔE_f (raw): -0.1994 eV per atom
* uncorrected energy: -31.3 eV per formula unit

POSCAR file:
```
Co2SiMo
1.0
3.673 0.000 0.000
0.000 3.673 0.000
0.000 0.000 7.149
Co Si Mo
4 2 2
Cartesian
0.000 1.836 1.787 Co
0.000 1.836 5.362 Co
1.836 0.000 1.787 Co
1.836 0.000 5.362 Co
0.000 0.000 0.000 Si
1.836 1.836 3.574 Si
0.000 0.000 3.574 Mo
1.836 1.836 0.000 Mo
```

[9]
DFT (PBE) results for CoSi2Mo after structural relaxation.

* crystal system: tetragonal
* total magnetization: 0.0 μB per cell
* ΔE_f (raw): -0.2320 eV per atom
* uncorrected energy: -29.7 eV per formula unit

POSCAR file:
```
CoSi2Mo
1.0
3.478 0.000 0.000
0.000 3.478 0.000
0.000 0.000 8.401
Co Si Mo
2 4 2
Cartesian
0.000 0.000 0.000 Co
1.739 1.739 4.200 Co
0.000 0.000 4.200 Si
0.000 1.739 2.100 Si
1.739 0.000 6.301 Si
1.739 1.739 0.000 Si
0.000 1.739 6.301 Mo
1.739 0.000 2.100 Mo
```

[10]
DFT (PBE) results for CoSi2Mo after structural relaxation.

* crystal system: tetragonal
* total magnetization: 0.0 μB per cell
* ΔE_f (raw): 0.1224 eV per atom
* uncorrected energy: -28.3 eV per formula unit

POSCAR file:
```
CoSi2Mo
1.0
6.337 0.000 0.000
0.000 6.337 0.000
0.000 0.000 5.556
Co Si Mo
4 8 4
Cartesian
0.000 0.000 0.000 Co
0.000 3.169 1.389 Co
3.169 0.000 4.167 Co
3.169 3.169 2.778 Co
1.324 4.753 0.694 Si
1.584 1.324 4.861 Si
1.584 1.845 2.083 Si
1.845 4.753 3.472 Si
4.493 1.584 3.472 Si
4.753 4.493 2.083 Si
4.753 5.014 4.861 Si
5.014 1.584 0.694 Si
0.000 0.000 2.778 Mo
0.000 3.169 4.167 Mo
3.169 0.000 1.389 Mo
3.169 3.169 0.000 Mo
```

[11]
DFT (PBE) results for CoSi2Mo after structural relaxation.

* crystal system: orthorhombic
* total magnetization: 0.3 μB per cell
* ΔE_f (raw): -0.2987 eV per atom
* uncorrected energy: -30.0 eV per formula unit

POSCAR file:
```
CoSi2Mo
1.0
2.828 0.000 0.000
0.000 3.700 0.000
0.000 0.000 5.037
Co Si Mo
1 2 1
Cartesian
0.000 0.000 0.000 Co
0.000 1.850 1.272 Si
0.000 1.850 3.765 Si
1.414 0.000 2.518 Mo
```

[12]
DFT (PBE) results for CoSiMo2 after structural relaxation.

* crystal system: tetragonal
* total magnetization: 1.1 μB per cell
* ΔE_f (raw): -0.0172 eV per atom
* uncorrected energy: -34.3 eV per formula unit

POSCAR file:
```
CoSiMo2
1.0
4.450 0.000 0.000
0.000 4.450 0.000
0.000 0.000 2.766
Co Si Mo
1 1 2
Cartesian
0.000 0.000 0.000 Co
2.225 2.225 0.000 Si
0.000 2.225 1.383 Mo
2.225 0.000 1.383 Mo
```

[13]
DFT (PBE) results for Co2SiMo after structural relaxation.

* crystal system: monoclinic
* total magnetization: 2.6 μB per cell
* ΔE_f (raw): -0.1108 eV per atom
* uncorrected energy: -30.9 eV per formula unit

POSCAR file:
```
Co2SiMo
1.0
8.319 0.000 0.000
0.000 2.694 0.000
-0.873 0.000 4.388
Co Si Mo
4 2 2
Cartesian
1.795 0.000 1.055 Co
1.491 1.347 3.333 Co
5.955 1.347 1.055 Co
5.650 0.000 3.333 Co
0.000 1.347 0.000 Si
4.160 0.000 0.000 Si
-0.437 0.000 2.194 Mo
3.723 1.347 2.194 Mo
```

[14]
DFT (PBE) results for CoSi2Mo after structural relaxation.

* crystal system: tetragonal
* total magnetization: 0.1 μB per cell
* ΔE_f (raw): -0.2802 eV per atom
* uncorrected energy: -29.9 eV per formula unit

POSCAR file:
```
CoSi2Mo
1.0
4.098 0.000 0.000
0.000 4.098 0.000
0.000 0.000 2.998
Co Si Mo
1 2 1
Cartesian
0.000 0.000 0.000 Co
0.000 2.049 1.499 Si
2.049 0.000 1.499 Si
2.049 2.049 0.000 Mo
```

[15]
DFT (PBE) results for CoSiMo2 after structural relaxation.

* crystal system: orthorhombic
* total magnetization: 1.2 μB per cell
* ΔE_f (raw): -0.0497 eV per atom
* uncorrected energy: -34.4 eV per formula unit

POSCAR file:
```
CoSiMo2
1.0
5.035 0.000 0.000
0.000 7.797 0.000
0.000 0.000 2.790
Co Si Mo
2 2 4
Cartesian
0.000 0.000 0.000 Co
2.518 3.898 0.000 Co
0.000 3.898 0.000 Si
2.518 0.000 0.000 Si
1.259 1.949 1.395 Mo
1.259 5.848 1.395 Mo
3.777 1.949 1.395 Mo
3.777 5.848 1.395 Mo
```

[16]
DFT (PBE) results for CoSiMo2 after structural relaxation.

* crystal system: orthorhombic
* total magnetization: 1.6 μB per cell
* ΔE_f (raw): -0.1618 eV per atom
* uncorrected energy: -34.8 eV per formula unit

POSCAR file:
```
CoSiMo2
1.0
3.152 0.000 0.000
0.000 4.185 0.000
0.000 0.000 8.235
Co Si Mo
2 2 4
Cartesian
0.000 0.000 0.000 Co
1.576 2.092 4.118 Co
0.000 2.092 2.366 Si
1.576 0.000 6.484 Si
0.000 0.000 4.330 Mo
0.000 2.092 6.276 Mo
1.576 0.000 2.158 Mo
1.576 2.092 0.213 Mo
```

[17]
DFT (PBE) results for CoSi2Mo after structural relaxation.

* crystal system: tetragonal
* total magnetization: 0.4 μB per cell
* ΔE_f (raw): -0.2722 eV per atom
* uncorrected energy: -29.9 eV per formula unit

POSCAR file:
```
CoSi2Mo
1.0
3.134 0.000 0.000
0.000 3.134 0.000
0.000 0.000 5.259
Co Si Mo
1 2 1
Cartesian
0.000 0.000 0.000 Co
0.000 0.000 2.878 Si
1.567 1.567 4.297 Si
1.567 1.567 1.683 Mo
```

[18]
DFT (PBE) results for CoSiMo2 after structural relaxation.

* crystal system: trigonal
* total magnetization: 0.6 μB per cell
* ΔE_f (raw): 0.0864 eV per atom
* uncorrected energy: -33.8 eV per formula unit

POSCAR file:
```
CoSiMo2
1.0
2.739 0.000 0.000
-1.369 2.372 0.000
0.000 0.000 25.635
Co Si Mo
3 3 6
Cartesian
0.000 0.000 0.000 Co
0.000 1.581 17.090 Co
1.369 0.791 8.545 Co
0.000 0.000 18.843 Si
0.000 1.581 10.298 Si
1.369 0.791 1.753 Si
0.000 0.000 6.422 Mo
0.000 0.000 12.502 Mo
0.000 1.581 3.957 Mo
0.000 1.581 23.512 Mo
1.369 0.791 14.967 Mo
1.369 0.791 21.047 Mo
```

[19]
DFT (PBE) results for CoSi2Mo after structural relaxation.

* crystal system: cubic
* total magnetization: 1.9 μB per cell
* ΔE_f (raw): 0.1582 eV per atom
* uncorrected energy: -28.2 eV per formula unit

POSCAR file:
```
CoSi2Mo
1.0
5.937 0.000 0.000
0.000 5.937 0.000
0.000 0.000 5.937
Co Si Mo
4 8 4
Cartesian
0.000 0.000 0.000 Co
0.000 2.968 2.968 Co
2.968 0.000 2.968 Co
2.968 2.968 0.000 Co
0.000 0.000 2.968 Si
0.000 2.968 0.000 Si
1.484 1.484 1.484 Si
1.484 4.453 4.453 Si
2.968 0.000 0.000 Si
2.968 2.968 2.968 Si
4.453 1.484 4.453 Si
4.453 4.453 1.484 Si
1.484 1.484 4.453 Mo
1.484 4.453 1.484 Mo
4.453 1.484 1.484 Mo
4.453 4.453 4.453 Mo
```

[20]
DFT (PBE) results for CoSi2Mo after structural relaxation.

* crystal system: monoclinic
* total magnetization: 0.0 μB per cell
* ΔE_f (raw): -0.2823 eV per atom
* uncorrected energy: -29.9 eV per formula unit

POSCAR file:
```
CoSi2Mo
1.0
8.956 0.000 0.000
0.000 2.788 0.000
-1.351 0.000 4.101
Co Si Mo
2 4 2
Cartesian
0.000 0.000 0.000 Co
4.478 1.394 0.000 Co
-0.615 1.394 2.187 Si
1.149 0.000 3.678 Si
3.863 0.000 2.187 Si
5.627 1.394 3.678 Si
1.791 1.394 1.617 Mo
6.269 0.000 1.617 Mo
```

[21]
DFT (PBE) results for Co2SiMo after structural relaxation.

* crystal system: tetragonal
* total magnetization: 1.2 μB per cell
* ΔE_f (raw): 0.2222 eV per atom
* uncorrected energy: -29.6 eV per formula unit

POSCAR file:
```
Co2SiMo
1.0
3.627 0.000 0.000
0.000 3.627 0.000
0.000 0.000 16.146
Co Si Mo
8 4 4
Cartesian
0.828 0.907 2.018 Co
0.907 2.642 6.055 Co
0.907 2.799 14.128 Co
0.985 0.907 10.091 Co
2.642 2.720 10.091 Co
2.720 0.828 14.128 Co
2.720 0.985 6.055 Co
2.799 2.720 2.018 Co
0.000 0.000 0.000 Si
0.000 1.814 4.037 Si
1.814 0.000 12.110 Si
1.814 1.814 8.073 Si
0.000 0.000 8.073 Mo
0.000 1.814 12.110 Mo
1.814 0.000 4.037 Mo
1.814 1.814 0.000 Mo
```

[22]
DFT (PBE) results for CoSi2TeMo after structural relaxation.

* crystal system: tetragonal
* total magnetization: 2.8 μB per cell
* ΔE_f (raw): 0.4759 eV per atom
* uncorrected energy: -29.5 eV per formula unit

POSCAR file:
```
CoSi2TeMo
1.0
4.204 0.000 0.000
0.000 4.204 0.000
0.000 0.000 5.296
Co Si Te Mo
1 2 1 1
Cartesian
0.000 0.000 0.000 Co
0.000 2.102 0.000 Si
2.102 0.000 0.000 Si
2.102 2.102 2.648 Te
0.000 0.000 2.648 Mo
```

[23]
DFT (PBE) results for Th2Co12Si3Mo after structural relaxation.

* crystal system: trigonal
* total magnetization: 9.5 μB per cell
* ΔE_f (raw): 0.1137 eV per atom
* uncorrected energy: -125.2 eV per formula unit

POSCAR file:
```
Th2Co12Si3Mo
1.0
3.010 1.738 8.382
-3.010 1.738 8.382
0.000 -3.475 8.382
Th Co Si Mo
2 12 3 1
Cartesian
0.000 0.000 3.775 Th
0.000 0.000 21.372 Th
0.000 -2.080 7.234 Co
-1.801 1.040 7.234 Co
-1.324 -0.765 10.735 Co
-1.801 -1.040 17.913 Co
0.000 -1.529 14.412 Co
-1.324 0.765 14.412 Co
1.324 -0.765 10.735 Co
0.000 1.529 10.735 Co
1.801 1.040 7.234 Co
1.324 0.765 14.412 Co
1.801 -1.040 17.913 Co
0.000 2.080 17.913 Co
-1.505 -0.869 8.382 Si
-1.505 0.869 16.765 Si
0.000 1.738 8.382 Si
0.000 0.000 12.573 Mo
```

[24]
DFT (PBE) results for Y2CoSiMo after structural relaxation.

* crystal system: tetragonal
* total magnetization: 0.0 μB per cell
* ΔE_f (raw): 0.3122 eV per atom
* uncorrected energy: -34.7 eV per formula unit

POSCAR file:
```
Y2CoSiMo
1.0
5.131 0.000 0.000
0.000 5.131 0.000
0.000 0.000 4.357
Y Co Si Mo
2 1 1 1
Cartesian
0.000 2.565 0.000 Y
2.565 0.000 0.000 Y
0.000 0.000 0.000 Co
2.565 2.565 2.178 Si
0.000 0.000 2.178 Mo
```

[25]
DFT (PBE) results for SmCoMo after structural relaxation.

* crystal system: orthorhombic
* total magnetization: 0.0 μB per cell
* uncorrected energy: -22.1 eV per formula unit

POSCAR file:
```
SmCoMo
1.0
-4.660 5.501 3.316
4.660 -5.501 3.316
4.660 5.501 -3.316
Sm Co Mo
6 6 6
Cartesian
2.330 0.073 0.000 Sm
2.330 -2.299 2.411 Sm
2.330 3.335 -0.709 Sm
2.330 7.800 -0.905 Sm
2.330 2.166 2.607 Sm
2.330 5.428 3.316 Sm
-0.002 1.794 0.548 Co
4.662 1.794 0.548 Co
2.330 -0.264 4.074 Co
2.330 5.765 0.758 Co
0.002 9.209 0.548 Co
-0.002 3.707 3.864 Co
0.000 0.000 2.360 Mo
4.660 0.000 2.360 Mo
-0.074 4.206 1.309 Mo
4.734 4.206 1.309 Mo
0.074 6.797 1.309 Mo
-0.074 1.295 4.625 Mo
```

[26]
DFT (PBE) results for SmCo2Mo after structural relaxation.

* crystal system: trigonal
* total magnetization: 0.0 μB per cell
* uncorrected energy: -29.6 eV per formula unit

POSCAR file:
```
SmCo2Mo
1.0
4.098 0.000 0.000
-2.049 3.549 0.000
0.000 0.000 14.966
Sm Co Mo
3 6 3
Cartesian
0.000 0.000 0.000 Sm
0.000 2.366 9.978 Sm
2.049 1.183 4.989 Sm
0.000 0.000 2.999 Co
0.000 0.000 11.968 Co
0.000 2.366 6.979 Co
0.000 2.366 12.976 Co
2.049 1.183 1.990 Co
2.049 1.183 7.987 Co
0.000 0.000 7.483 Mo
0.000 2.366 2.494 Mo
2.049 1.183 12.472 Mo
```

[27]
DFT (PBE) results for SmCo10Mo2 after structural relaxation.

* crystal system: orthorhombic
* total magnetization: 12.5 μB per cell
* uncorrected energy: -97.6 eV per formula unit

POSCAR file:
```
SmCo10Mo2
1.0
-2.343 4.229 4.239
2.343 -4.229 4.239
2.343 4.229 -4.239
Sm Co Mo
1 10 2
Cartesian
0.000 0.000 0.000 Sm
1.172 2.115 -2.119 Co
1.172 -2.115 2.119 Co
2.343 1.803 0.000 Co
2.343 0.000 1.890 Co
0.000 3.044 0.000 Co
-1.172 2.115 2.119 Co
1.172 2.115 2.119 Co
0.000 5.415 0.000 Co
0.000 4.229 2.349 Co
0.000 2.426 4.239 Co
0.000 0.000 3.041 Mo
0.000 0.000 5.436 Mo
```

[28]
DFT (PBE) results for Co4SnMo after structural relaxation.

* crystal system: cubic
* total magnetization: 0.0 μB per cell
* uncorrected energy: -42.5 eV per formula unit

POSCAR file:
```
Co4SnMo
1.0
0.000 3.362 3.362
3.362 0.000 3.362
3.362 3.362 0.000
Co Sn Mo
4 1 1
Cartesian
0.839 0.839 0.839 Co
2.522 2.522 0.839 Co
2.522 0.839 2.522 Co
0.839 2.522 2.522 Co
3.362 3.362 3.362 Sn
5.042 5.042 5.042 Mo
```